(1)
A plane-wave DFT calculation with GGA-PBE was carried out for an optimized crystal structure of Li4PbO3.

## Properties
Its symmetry is Cc (9). For the uncorrected formation energy, the calculation gives -150 kJ per mole of atoms. As for the crystal system: monoclinic.

abc: 5.093 6.262 7.019
angles: 106.11 90.00 114.00
Atoms (fractional coordinates):
1 Li 0.899 0.393 0.092
2 Li 0.494 0.393 0.592
3 Li 0.336 0.265 0.953
4 Li 0.991 0.678 0.484
5 Li 0.929 0.265 0.453
6 Li 0.495 0.599 0.330
7 Li 0.104 0.599 0.830
8 Li 0.687 0.678 0.984
9 O 0.073 0.938 0.962
10 O 0.686 0.370 0.817
11 O 0.864 0.938 0.462
12 O 0.684 0.370 0.317
13 O 0.269 0.574 0.570
14 O 0.305 0.574 0.070
15 Pb 0.664 0.964 0.744
16 Pb 0.300 0.964 0.244

=====

(2)
A plane-wave DFT calculation with GGA-PBE was carried out for an optimized crystal structure of LiPb2O4.

## Properties
Its symmetry is I-42d (122). For the uncorrected formation energy, the calculation gives -109 kJ per mole of atoms. As for the crystal system: tetragonal.

abc: 6.373 6.373 6.373
angles: 107.33 113.84 107.33
Atoms (fractional coordinates):
1 O 0.130 0.188 0.837
2 O 0.101 0.792 0.413
3 O 0.163 0.292 0.351
4 O 0.649 0.812 0.942
5 O 0.692 0.312 0.899
6 O 0.587 0.688 0.380
7 O 0.058 0.708 0.870
8 O 0.620 0.208 0.308
9 Pb 0.594 0.469 0.625
10 Pb 0.875 0.031 0.406
11 Pb 0.375 0.969 0.844
12 Pb 0.156 0.531 0.125
13 Li 0.000 0.000 0.000
14 Li 0.750 0.500 0.250

=====

Number 1: uncorrected energy -4.830 eV per atom. Number 2: uncorrected energy -5.296 eV per atom.